Computed, not measured: CeYCdBi after structural relaxation at the GGA-PBE level of DFT.

Calculated values
**Formation energy from the elements**: -0.401 eV per atom

a = 7.698 Å, b = 7.698 Å, c = 7.698 Å
α = 90.00°, β = 90.00°, γ = 90.00°
Fractional positions:
Ce (0.000, 0.000, 0.000)
Ce (0.000, 0.500, 0.500)
Ce (0.500, 0.000, 0.500)
Ce (0.500, 0.500, 0.000)
Y (0.000, 0.000, 0.500)
Y (0.000, 0.500, 0.000)
Y (0.500, 0.000, 0.000)
Y (0.500, 0.500, 0.500)
Cd (0.250, 0.250, 0.250)
Cd (0.250, 0.750, 0.750)
Cd (0.750, 0.250, 0.750)
Cd (0.750, 0.750, 0.250)
Bi (0.250, 0.250, 0.750)
Bi (0.250, 0.750, 0.250)
Bi (0.750, 0.250, 0.250)
Bi (0.750, 0.750, 0.750)